[1]
# YMnRu

A geometry-optimized YMnRu structure (PBE-GGA, Alexandria via LeMat-Bulk).

Cell: 3.9275 3.9275 4.4113 Å, 90.00 90.00 120.00°
Last column: nearest neighbours and their distance in Å.
Sites, in units of the cell vectors:
Ru  0.3333  0.6667  0.1649  3 Mn 2.27
Y  0.6667  0.3333  0.6666  6 Mn 3.16-3.17, 6 Ru 3.16-3.17
Mn  0.0000  0.0000  0.1686  3 Ru 2.27

Output
- SG: P3m1, No. 156

[2]
# YMnRu

A geometry-optimized YMnRu structure (PBE-GGA, Alexandria via LeMat-Bulk).

Cell: 4.4941 4.4941 4.4941 Å, 60.00 60.00 60.00°
Last column: nearest neighbours and their distance in Å.
Sites, in units of the cell vectors:
Y  0.0000  0.0000  0.0000  4 Ru 2.75
Ru  0.2500  0.2500  0.2500  4 Y 2.75, 4 Mn 2.75
Mn  0.5000  0.5000  0.5000  4 Ru 2.75

Output
- SG: F-43m, No. 216

Which ΔE_f belongs to each record? In order, -0.020 0.276 eV per atom.